Entry from Alexandria via LeMat-Bulk: a geometry-optimized Li2AlNiO4 structure (PBE with a Hubbard U).

The structure in extended XYZ format:
```
16
Lattice="5.385 0.000 0.000 0.000 4.993 0.000 0.000 4.996 6.384" Properties=species:S:1:pos:R:3 pbc="T T T"
O 4.513 5.495 6.270
Li 0.898 5.007 3.218
O 3.475 2.999 1.703
O 4.379 5.619 3.341
O 1.911 5.497 4.895
Ni 0.916 4.985 0.000
Li 4.488 2.509 0.026
O 1.701 5.689 1.534
Li 3.593 5.010 1.611
Li 1.792 7.508 4.803
O 0.872 2.997 3.078
O 3.685 8.187 4.726
Al 3.615 4.979 4.815
Ni 4.469 7.483 3.192
Al 1.770 2.480 1.623
O 1.006 3.121 0.149
```

Properties
* SG: Pc, No. 7
* E: -5.676 eV/atom